PBE with a Hubbard U K2DyV3F12, relaxed; energy = -5.9260 eV/atom; mass density = 3.23 g/cm3
1.0
-4.543 3.998 4.815
-3.772 -3.523 5.758
2.038 1.134 7.373
F K V Dy
12 2 3 1
direct
0.919 0.342 0.919
0.091 0.683 0.683
0.909 0.317 0.317
0.317 0.317 0.909
0.081 0.081 0.658
0.658 0.081 0.081
0.317 0.909 0.317
0.919 0.919 0.342
0.683 0.091 0.683
0.342 0.919 0.919
0.081 0.658 0.081
0.683 0.683 0.091
0.596 0.596 0.596
0.404 0.404 0.404
0.000 0.500 0.000
0.500 0.000 0.000
0.000 0.000 0.500
0.000 0.000 0.000